VASP calculation (PBE) on Zn2CdPd5 after structural relaxation.

Cell lengths 7.7053, 7.7053, 7.7053 Å; angles 148.68, 148.68, 44.88 degrees
Closest atoms and distances in Å follow each position.
Fractional coordinates of all 8 atoms:
Zn 0.2505 0.2505 0.0000  8 Pd 2.62-2.63
Zn 0.7495 0.7495 0.0000  8 Pd 2.62-2.63
Cd 0.0000 0.0000 0.0000  12 Pd 2.86-2.94
Pd 0.1376 0.6377 0.5000  4 Zn 2.62-2.63, 2 Cd 2.86, 2 Pd 2.86
Pd 0.3624 0.8624 0.5000  4 Zn 2.62-2.63, 2 Cd 2.86, 2 Pd 2.86
Pd 0.5000 0.5000 0.0000  8 Pd 2.86, 4 Cd 2.94
Pd 0.6377 0.1376 0.5000  4 Zn 2.62-2.63, 2 Cd 2.86, 2 Pd 2.86
Pd 0.8624 0.3624 0.5000  4 Zn 2.62-2.63, 2 Cd 2.86, 2 Pd 2.86

Results
Electronic total energy = -4.131 eV per atom
Volume = 15.40 Å³/atom
Size of the total moment = 0.00 μB/cell
Formation energy = -0.4527 eV/atom

=====

VASP calculation (PBE) on ThScHg3 after structural relaxation.

Cell lengths 14.6406, 14.6406, 4.8957 Å; angles 90.00, 90.00, 166.57 degrees
Closest atoms and distances in Å follow each position.
Fractional coordinates of all 10 atoms:
Th 0.0781 0.9219 0.7500  12 Hg 3.32-3.61, 2 Th 3.42
Th 0.9219 0.0781 0.2500  12 Hg 3.32-3.61, 2 Th 3.42
Sc 0.2137 0.7863 0.2500  7 Hg 2.88-3.08
Sc 0.7863 0.2137 0.7500  7 Hg 2.88-3.08
Hg 0.3127 0.6873 0.2500  5 Sc 2.88-3.08, 2 Hg 2.99
Hg 0.3719 0.6281 0.7500  3 Hg 2.98-2.99, 2 Sc 3.02, 4 Th 3.32
Hg 0.4743 0.5257 0.7500  3 Hg 2.87-2.98
Hg 0.5257 0.4743 0.2500  3 Hg 2.87-2.98
Hg 0.6281 0.3719 0.2500  3 Hg 2.98-2.99, 2 Sc 3.02, 4 Th 3.32
Hg 0.6873 0.3127 0.7500  5 Sc 2.88-3.08, 2 Hg 2.99

Results
Electronic total energy = -3.226 eV per atom
Volume = 24.38 Å³/atom
Relative energy among the computed polymorphs = 0.0 meV per atom
Size of the total moment = 0.00 μB/cell
Formation energy = -0.2947 eV/atom

=====

VASP calculation (PBE) on TaCdP after structural relaxation.

Cell lengths 7.2631, 7.0977, 2.9597 Å; angles 81.26, 74.99, 23.75 degrees
Closest atoms and distances in Å follow each position.
Fractional coordinates of all 3 atoms:
Ta 0.0000 0.0000 0.0000  2 P 2.46
Cd 0.3274 0.3274 0.6726  4 Cd 2.96, 2 Ta 2.97
P 0.6235 0.6235 0.3765  2 Ta 2.46

Results
Electronic total energy = -5.971 eV per atom
Volume = 19.31 Å³/atom
Relative energy among the computed polymorphs = 456.2 meV per atom
Size of the total moment = 0.00 μB/cell
Formation energy = 0.0886 eV/atom

=====

VASP calculation (PBE) on LaHfAg after structural relaxation.

Cell lengths 8.1732, 4.6651, 8.2075 Å; angles 90.00, 90.00, 90.00 degrees
Closest atoms and distances in Å follow each position.
Fractional coordinates of all 12 atoms:
La 0.0243 0.2500 0.1589  5 Ag 3.20-3.45, 3 Hf 3.40-3.51, 2 La 3.52
La 0.4757 0.7500 0.6589  5 Ag 3.20-3.45, 3 Hf 3.40-3.51, 2 La 3.52
La 0.5243 0.2500 0.3411  5 Ag 3.20-3.45, 3 Hf 3.40-3.51, 2 La 3.52
La 0.9757 0.7500 0.8411  5 Ag 3.20-3.45, 3 Hf 3.40-3.51, 2 La 3.52
Hf 0.1283 0.2500 0.5594  4 Ag 2.85-2.89
Hf 0.3717 0.7500 0.0594  4 Ag 2.85-2.89
Hf 0.6283 0.2500 0.9406  4 Ag 2.85-2.89
Hf 0.8717 0.7500 0.4406  4 Ag 2.85-2.89
Ag 0.2141 0.7500 0.3690  4 Hf 2.85-2.89
Ag 0.2859 0.2500 0.8690  4 Hf 2.85-2.89
Ag 0.7141 0.7500 0.1310  4 Hf 2.85-2.89
Ag 0.7859 0.2500 0.6310  4 Hf 2.85-2.89

Results
Electronic total energy = -5.837 eV per atom
Volume = 26.08 Å³/atom
Relative energy among the computed polymorphs = 108.3 meV per atom
Size of the total moment = 0.00 μB/cell
Formation energy = 0.0740 eV/atom

=====

VASP calculation (PBE) on LaTh2V after structural relaxation.

Cell lengths 11.5238, 11.5238, 11.5238 Å; angles 17.16, 17.16, 17.16 degrees
Closest atoms and distances in Å follow each position.
Fractional coordinates of all 4 atoms:
La 0.0000 0.0000 0.0000  2 Th 3.34, 6 La 3.44
Th 0.0981 0.0981 0.0981  3 V 3.06, 1 La 3.34
Th 0.9019 0.9019 0.9019  3 V 3.06, 1 La 3.34
V 0.5000 0.5000 0.5000  6 Th 3.06

Results
Electronic total energy = -6.740 eV per atom
Volume = 29.05 Å³/atom
Size of the total moment = 1.76 μB/cell
Formation energy = 0.4816 eV/atom

=====

VASP calculation (PBE) on Pu2PaPd4 after structural relaxation.

Cell lengths 6.6519, 6.6519, 5.0568 Å; angles 90.00, 90.00, 131.56 degrees
Closest atoms and distances in Å follow each position.
Fractional coordinates of all 7 atoms:
Pu 0.1402 0.8598 0.0000  5 Pd 2.75-3.07
Pu 0.8598 0.1402 0.0000  5 Pd 2.75-3.07
Pa 0.5000 0.5000 0.5000  6 Pd 2.63-2.88
Pd 0.2831 0.7169 0.5000  1 Pa 2.63, 4 Pd 2.83-2.84
Pd 0.3872 0.6128 0.0000  3 Pd 2.74-2.83, 3 Pu 2.75-3.00, 2 Pa 2.88
Pd 0.6128 0.3872 0.0000  3 Pd 2.74-2.83, 3 Pu 2.75-3.00, 2 Pa 2.88
Pd 0.7169 0.2831 0.5000  1 Pa 2.63, 4 Pd 2.83-2.84

Results
Electronic total energy = -8.612 eV per atom
Volume = 23.92 Å³/atom
Size of the total moment = 11.90 μB/cell
Formation energy = -0.1937 eV/atom

=====

VASP calculation (PBE) on Ca2TlC2O6 after structural relaxation.

Cell lengths 5.4285, 6.0880, 6.1945 Å; angles 67.77, 66.91, 69.71 degrees
Closest atoms and distances in Å follow each position.
Fractional coordinates of all 11 atoms:
Ca 0.2030 0.1976 0.2008  6 O 2.33-2.52
Ca 0.7970 0.8024 0.7992  6 O 2.33-2.52
Tl 0.5000 0.5000 0.5000  6 O 3.02-3.04, 2 C 3.05
C 0.1142 0.7665 0.1841  3 O 1.30
C 0.8858 0.2335 0.8159  3 O 1.30
O 0.0195 0.1589 0.6211  1 C 1.30
O 0.0250 0.6313 0.1252  1 C 1.30
O 0.3394 0.8405 0.0449  1 C 1.30
O 0.6606 0.1595 0.9551  1 C 1.30
O 0.9750 0.3687 0.8748  1 C 1.30
O 0.9805 0.8411 0.3789  1 C 1.30

Results
Electronic total energy = -6.791 eV per atom
Volume = 15.41 Å³/atom
Size of the total moment = 0.98 μB/cell

=====

VASP calculation (PBE) on Nd8Ni3PtBr4 after structural relaxation.

Cell lengths 8.2525, 8.2525, 9.0923 Å; angles 117.05, 117.05, 59.95 degrees
Closest atoms and distances in Å follow each position.
Fractional coordinates of all 16 atoms:
Nd 0.2240 0.7357 0.6950  2 Ni 2.80, 1 Pt 2.87
Nd 0.2308 0.2308 0.6920  3 Ni 2.81
Nd 0.2644 0.2644 0.3051  2 Ni 2.80, 1 Pt 2.87
Nd 0.2643 0.7760 0.3050  2 Ni 2.80, 1 Pt 2.87
Nd 0.7357 0.2240 0.6950  2 Ni 2.80, 1 Pt 2.87
Nd 0.7356 0.7356 0.6949  2 Ni 2.80, 1 Pt 2.87
Nd 0.7692 0.7692 0.3080  3 Ni 2.81
Nd 0.7760 0.2643 0.3050  2 Ni 2.80, 1 Pt 2.87
Ni 0.0000 0.0000 0.5000  6 Nd 2.80-2.81
Ni 0.0000 0.5000 0.5000  6 Nd 2.80-2.81
Ni 0.5000 0.0000 0.5000  6 Nd 2.80-2.81
Pt 0.5000 0.5000 0.5000  6 Nd 2.87
Br 0.0000 0.0000 0.0000  6 Nd 3.31-3.32
Br 0.0000 0.5000 0.0000  6 Nd 3.37
Br 0.5000 0.0000 0.0000  6 Nd 3.37
Br 0.5000 0.5000 0.0000  6 Nd 3.37

Results
Electronic total energy = -5.174 eV per atom
Volume = 28.51 Å³/atom
Size of the total moment = 0.00 μB/cell

=====

VASP calculation (PBE) on Ge2AuF after structural relaxation.

Cell lengths 4.4982, 4.4982, 4.4982 Å; angles 60.00, 60.00, 60.00 degrees
Closest atoms and distances in Å follow each position.
Fractional coordinates of all 4 atoms:
Ge 0.2500 0.2500 0.2500  4 F 2.75, 4 Au 2.75
Ge 0.7500 0.7500 0.7500  4 F 2.75, 4 Au 2.75
Au 0.0000 0.0000 0.0000  8 Ge 2.75
F 0.5000 0.5000 0.5000  8 Ge 2.75

Results
Electronic total energy = -4.057 eV per atom
Volume = 16.09 Å³/atom
Relative energy among the computed polymorphs = 0.0 meV per atom
Size of the total moment = 0.00 μB/cell

=====

VASP calculation (PBE) on Mg4Si7 after structural relaxation.

Cell lengths 6.7930, 3.7196, 16.0956 Å; angles 90.00, 98.21, 90.00 degrees
Closest atoms and distances in Å follow each position.
Fractional coordinates of all 22 atoms:
Mg 0.0000 0.0000 0.0000  7 Si 2.80-3.13
Mg 0.0549 0.5000 0.1916  7 Si 2.80-3.04
Mg 0.2708 0.5000 0.4252  7 Si 2.82-2.93, 3 Mg 3.11-3.13
Mg 0.4134 0.0000 0.9320  9 Si 2.84-3.01, 1 Mg 3.16
Mg 0.5979 0.5000 0.2702  8 Si 2.83-3.02, 2 Mg 3.03
Mg 0.7174 0.5000 0.6541  8 Si 2.73-3.02, 1 Mg 2.97
Mg 0.8538 0.5000 0.4869  5 Si 2.84-3.16, 4 Mg 2.97-3.13
Mg 0.9338 0.0000 0.3398  2 Si 2.68-2.79
Si 0.0317 0.0000 0.6094  3 Si 2.44-2.50
Si 0.1398 0.5000 0.8330  3 Si 2.40-2.46
Si 0.2735 0.5000 0.6003  5 Si 2.43-2.59
Si 0.2976 0.0000 0.2944  2 Si 2.39-2.40, 1 Mg 2.68
Si 0.3001 0.5000 0.0618  3 Si 2.42-2.51
Si 0.3871 0.0000 0.1559  4 Si 2.39-2.50
Si 0.4131 0.5000 0.7478  4 Si 2.43-2.49
Si 0.4873 0.0000 0.5454  3 Si 2.41-2.59
Si 0.5747 0.0000 0.4054  2 Si 2.40-2.41
Si 0.6444 0.0000 0.7981  5 Si 2.47-2.59
Si 0.6619 0.5000 0.0463  4 Si 2.39-2.51
Si 0.7485 0.5000 0.9076  3 Si 2.39-2.59
Si 0.7514 0.0000 0.1462  3 Si 2.48-2.50
Si 0.9812 0.0000 0.7564  4 Si 2.40-2.47

Results
Electronic total energy = -3.901 eV per atom
Volume = 18.30 Å³/atom
Relative energy among the computed polymorphs = 33.6 meV per atom
Size of the total moment = 0.00 μB/cell

=====

VASP calculation (PBE) on CsPbClO2 after structural relaxation.

Cell lengths 4.3980, 4.3980, 9.9920 Å; angles 90.00, 90.00, 90.00 degrees
Closest atoms and distances in Å follow each position.
Fractional coordinates of all 5 atoms:
Cs 0.0000 0.0000 0.0000  4 Cl 3.11
Pb 0.0000 0.0000 0.5000  4 O 2.20
Cl 0.5000 0.5000 0.0000  4 Cs 3.11
O 0.0000 0.5000 0.5000  2 Pb 2.20
O 0.5000 0.0000 0.5000  2 Pb 2.20

Results
Electronic total energy = -3.985 eV per atom
Volume = 38.65 Å³/atom
Size of the total moment = 0.40 μB/cell

=====

VASP calculation (PBE) on Sr3In3Ni after structural relaxation.

Cell lengths 6.6466, 6.6466, 17.0004 Å; angles 106.33, 106.33, 37.26 degrees
Closest atoms and distances in Å follow each position.
Fractional coordinates of all 14 atoms:
Sr 0.0165 0.0165 0.3915  2 Ni 3.23, 5 In 3.39-3.58
Sr 0.1163 0.1163 0.9197  7 In 3.49-3.52
Sr 0.2447 0.2447 0.2446  2 Ni 3.28, 6 In 3.42-3.61
Sr 0.7553 0.7553 0.7554  2 Ni 3.28, 6 In 3.42-3.61
Sr 0.8837 0.8837 0.0803  7 In 3.49-3.52
Sr 0.9835 0.9835 0.6085  2 Ni 3.23, 5 In 3.39-3.58
In 0.3141 0.3141 0.4588  3 Ni 2.66-2.82
In 0.3939 0.3939 0.9200  2 In 3.13-3.20, 3 Sr 3.49-3.50
In 0.4706 0.4706 0.7607  1 Ni 2.74
In 0.5294 0.5294 0.2393  1 Ni 2.74
In 0.6061 0.6061 0.0800  2 In 3.13-3.20, 3 Sr 3.49-3.50
In 0.6859 0.6859 0.5412  3 Ni 2.66-2.82
Ni 0.2949 0.2949 0.6199  4 In 2.66-2.82
Ni 0.7051 0.7051 0.3801  4 In 2.66-2.82

Results
Electronic total energy = -3.061 eV per atom
Volume = 31.02 Å³/atom
Size of the total moment = 0.00 μB/cell
Formation energy = -0.3409 eV/atom